TbTmThZn | PBE-GGA | relaxed

The structure in POSCAR format:
```
TbTmThZn
1.0
-3.126 -1.133 1.245
1.683 -2.151 2.269
0.073 6.212 5.835
Tb Tm Th Zn
1 1 1 1
direct
0.500 0.500 0.783
0.500 0.500 0.362
0.000 0.000 0.075
0.000 0.000 0.565
```

Formation energy: -64 kJ/mol of formula units
Total moment: 0.00 Bohr magnetons per cell
Space group: P4mm
E above lowest polymorph: 0 meV per atom
Crystal system: tetragonal